Record 1
Y2Hf4Co3C3, optimized geometry, DFT GGA-PBE; uncorrected energy = -214.04 eV for the cell shown; calculated density = 9.827 Mg/m³
1.0
4.944 -2.855 0.000
4.944 2.855 0.000
-3.497 0.000 13.224
Y Hf Co C
4 8 6 6
direct
0.044 0.877 0.623 Y
0.123 0.956 0.877 Y
0.877 0.044 0.123 Y
0.956 0.123 0.377 Y
0.199 0.361 0.094 Hf
0.294 0.475 0.406 Hf
0.361 0.199 0.594 Hf
0.475 0.294 0.906 Hf
0.525 0.706 0.094 Hf
0.639 0.801 0.406 Hf
0.706 0.525 0.594 Hf
0.801 0.639 0.906 Hf
0.086 0.408 0.750 Co
0.408 0.086 0.250 Co
0.418 0.582 0.250 Co
0.582 0.418 0.750 Co
0.592 0.914 0.750 Co
0.914 0.592 0.250 Co
0.000 0.500 0.500 C
0.174 0.652 0.000 C
0.348 0.826 0.500 C
0.500 0.000 0.000 C
0.652 0.174 0.500 C
0.826 0.348 0.000 C

***

Record 2
ReTeAsO, optimized geometry, DFT GGA-PBE; E above lowest polymorph = 0 meV/atom; calculated density = 7.411 Mg/m³
1.0
4.130 0.000 0.000
0.000 5.854 0.000
0.000 0.000 7.502
Re Te As O
2 2 2 2
direct
0.000 0.004 0.000 Re
0.000 0.996 0.500 Re
0.500 0.299 0.565 Te
0.500 0.701 0.065 Te
0.500 0.238 0.953 As
0.500 0.762 0.453 As
0.000 0.043 0.251 O
0.000 0.957 0.751 O

***

Record 3
PrTmCu2Sn2, optimized geometry, DFT GGA-PBE; uncorrected energy = -28.20 eV for the cell shown; calculated density = 8.381 Mg/m³
1.0
4.566 0.000 0.000
-2.283 3.954 0.000
0.000 0.000 7.400
Pr Tm Cu Sn
1 1 2 2
direct
0.000 0.000 0.000 Pr
0.000 0.000 0.499 Tm
0.333 0.667 0.328 Cu
0.667 0.333 0.792 Cu
0.333 0.667 0.719 Sn
0.667 0.333 0.243 Sn

***

Record 4
NbSiNiHg, optimized geometry, DFT GGA-PBE; E above lowest polymorph = 267 meV/atom; calculated density = 9.642 Mg/m³
1.0
0.000 3.199 3.199
3.199 0.000 3.199
3.199 3.199 0.000
Nb Si Ni Hg
1 1 1 1
direct
0.000 0.000 0.000 Nb
0.500 0.500 0.500 Si
0.750 0.750 0.750 Ni
0.250 0.250 0.250 Hg

***

Record 5
Nd4ZnBr5, optimized geometry, DFT GGA-PBE; uncorrected energy = -42.11 eV for the cell shown; calculated density = 5.224 Mg/m³
1.0
9.373 -2.032 0.000
9.373 2.032 0.000
-1.939 0.000 8.692
Nd Zn Br
4 1 5
direct
0.000 0.000 0.234 Nd
0.000 0.000 0.766 Nd
0.344 0.344 0.920 Nd
0.656 0.656 0.080 Nd
0.500 0.500 0.000 Zn
0.166 0.166 0.331 Br
0.172 0.172 0.833 Br
0.500 0.500 0.500 Br
0.828 0.828 0.167 Br
0.834 0.834 0.669 Br

***

Record 6
ZrSnAu2, optimized geometry, DFT GGA-PBE; uncorrected energy = -20.16 eV for the cell shown; calculated density = 12.430 Mg/m³
1.0
0.000 3.430 3.430
3.430 0.000 3.430
3.430 3.430 0.000
Zr Sn Au
1 1 2
direct
0.000 0.000 0.000 Zr
0.750 0.750 0.750 Sn
0.250 0.250 0.250 Au
0.500 0.500 0.500 Au

***

Record 7
HfInCuSe3, optimized geometry, DFT GGA-PBE; uncorrected energy = -63.39 eV for the cell shown; calculated density = 6.708 Mg/m³
1.0
8.144 0.000 0.000
0.000 3.851 0.000
-3.765 0.000 9.373
Hf In Cu Se
2 2 2 6
direct
0.198 0.250 0.166 Hf
0.802 0.750 0.834 Hf
0.226 0.750 0.698 In
0.774 0.250 0.302 In
0.422 0.750 0.397 Cu
0.578 0.250 0.603 Cu
0.053 0.250 0.871 Se
0.254 0.250 0.439 Se
0.421 0.750 0.154 Se
0.579 0.250 0.846 Se
0.746 0.750 0.561 Se
0.947 0.750 0.129 Se

***

Record 8
ErZrZn2Ir4, optimized geometry, DFT GGA-PBE; calculated density = 14.664 Mg/m³; formation energy = -12.675 kcal/mol of atoms
1.0
4.525 0.000 0.000
0.000 4.525 0.000
0.000 0.000 6.404
Er Zr Zn Ir
1 1 2 4
direct
0.000 0.000 0.000 Er
0.500 0.500 0.500 Zr
0.000 0.000 0.500 Zn
0.500 0.500 0.000 Zn
0.000 0.500 0.258 Ir
0.000 0.500 0.742 Ir
0.500 0.000 0.258 Ir
0.500 0.000 0.742 Ir

***

Record 9
RbNiAgTe2Se, optimized geometry, DFT GGA-PBE; uncorrected energy = -41.16 eV for the cell shown; calculated density = 5.744 Mg/m³
1.0
1.957 -7.961 0.000
1.957 7.961 0.000
0.000 0.000 10.876
Rb Ni Ag Te Se
2 2 2 4 2
direct
0.246 0.754 0.750 Rb
0.754 0.246 0.250 Rb
0.000 0.000 0.000 Ni
0.000 0.000 0.500 Ni
0.450 0.550 0.250 Ag
0.550 0.450 0.750 Ag
0.393 0.607 0.012 Te
0.393 0.607 0.488 Te
0.607 0.393 0.512 Te
0.607 0.393 0.988 Te
0.064 0.936 0.250 Se
0.936 0.064 0.750 Se

***

Record 10
PrYTl2Pd4, optimized geometry, DFT GGA-PBE; uncorrected energy = -41.79 eV for the cell shown; calculated density = 10.276 Mg/m³
1.0
4.692 0.000 0.000
-2.346 4.063 0.000
0.000 0.000 9.021
Pr Y Tl Pd
1 1 2 4
direct
0.000 0.000 0.000 Pr
0.333 0.667 0.500 Y
0.667 0.333 0.256 Tl
0.667 0.333 0.744 Tl
0.000 0.000 0.343 Pd
0.000 0.000 0.657 Pd
0.333 0.667 0.166 Pd
0.333 0.667 0.834 Pd

***

Record 11
Pm4P3Se4, optimized geometry, DFT GGA-PBE; uncorrected energy = -63.56 eV for the cell shown; calculated density = 4.834 Mg/m³
1.0
11.052 0.000 0.000
0.000 2.072 7.417
0.000 -2.072 7.417
Pm P Se
4 3 4
direct
0.000 0.000 0.000 Pm
0.194 0.241 0.241 Pm
0.500 0.809 0.809 Pm
0.806 0.241 0.241 Pm
0.000 0.671 0.671 P
0.165 0.591 0.591 P
0.835 0.591 0.591 P
0.000 0.367 0.367 Se
0.264 0.873 0.873 Se
0.500 0.186 0.186 Se
0.736 0.873 0.873 Se

***

Record 12
TbMgZn, optimized geometry, DFT GGA-PBE; uncorrected energy = -7.66 eV for the cell shown; calculated density = 5.483 Mg/m³
1.0
0.000 3.352 3.352
3.352 0.000 3.352
3.352 3.352 0.000
Tb Mg Zn
1 1 1
direct
0.000 0.000 0.000 Tb
0.500 0.500 0.500 Mg
0.750 0.750 0.750 Zn

***

Record 13
CsLuTe3Pt, optimized geometry, DFT GGA-PBE; E above lowest polymorph = 54 meV/atom; calculated density = 7.140 Mg/m³
1.0
2.106 -9.261 0.000
2.106 9.261 0.000
0.000 0.000 10.562
Cs Lu Te Pt
2 2 6 2
direct
0.249 0.751 0.750 Cs
0.751 0.249 0.250 Cs
0.000 0.000 0.000 Lu
0.000 0.000 0.500 Lu
0.078 0.922 0.250 Te
0.388 0.612 0.068 Te
0.388 0.612 0.432 Te
0.612 0.388 0.568 Te
0.612 0.388 0.932 Te
0.922 0.078 0.750 Te
0.487 0.513 0.250 Pt
0.513 0.487 0.750 Pt

***

Record 14
ZnAgTeO, optimized geometry, DFT GGA-PBE; E above lowest polymorph = 126 meV/atom; calculated density = 6.754 Mg/m³
1.0
5.811 0.000 0.000
0.000 6.892 0.000
0.000 0.000 7.782
Zn Ag Te O
4 4 4 4
direct
0.049 0.170 0.100 Zn
0.451 0.830 0.600 Zn
0.549 0.330 0.900 Zn
0.951 0.670 0.400 Zn
0.063 0.489 0.776 Ag
0.437 0.511 0.276 Ag
0.563 0.011 0.224 Ag
0.937 0.989 0.724 Ag
0.065 0.768 0.063 Te
0.435 0.232 0.563 Te
0.565 0.732 0.937 Te
0.935 0.268 0.437 Te
0.133 0.744 0.598 O
0.367 0.256 0.098 O
0.633 0.756 0.402 O
0.867 0.244 0.902 O

***

Record 15
Hf2ZrSi, optimized geometry, DFT GGA-PBE; uncorrected energy = -34.11 eV for the cell shown; calculated density = 10.105 Mg/m³
1.0
0.000 3.395 3.395
3.395 0.000 3.395
3.395 3.395 0.000
Hf Zr Si
2 1 1
direct
0.000 0.000 0.000 Hf
0.250 0.250 0.250 Hf
0.750 0.750 0.750 Zr
0.500 0.500 0.500 Si

***

Record 16
Lu3As2S, optimized geometry, DFT GGA-PBE; uncorrected energy = -36.81 eV for the cell shown; calculated density = 8.886 Mg/m³
1.0
3.974 0.000 0.000
-1.987 3.442 0.000
0.000 0.000 9.658
Lu As S
3 2 1
direct
0.000 0.000 0.000 Lu
0.333 0.667 0.664 Lu
0.667 0.333 0.336 Lu
0.333 0.667 0.172 As
0.667 0.333 0.828 As
0.000 0.000 0.500 S

***

Record 17
BaTbAgO3, optimized geometry, DFT GGA-PBE; uncorrected energy = -75.51 eV for the cell shown; calculated density = 7.002 Mg/m³
1.0
1.838 -6.567 0.000
1.838 6.567 0.000
0.000 0.000 8.886
Ba Tb Ag O
2 2 2 6
direct
0.188 0.812 0.750 Ba
0.812 0.188 0.250 Ba
0.500 0.500 0.000 Tb
0.500 0.500 0.500 Tb
0.103 0.897 0.250 Ag
0.897 0.103 0.750 Ag
0.111 0.889 0.018 O
0.111 0.889 0.482 O
0.448 0.552 0.250 O
0.552 0.448 0.750 O
0.889 0.111 0.518 O
0.889 0.111 0.982 O

***

Record 18
LaBeGaNi, optimized geometry, DFT GGA-PBE; E above lowest polymorph = 122 meV/atom; calculated density = 6.365 Mg/m³
1.0
0.000 3.303 3.303
3.303 0.000 3.303
3.303 3.303 0.000
La Be Ga Ni
1 1 1 1
direct
0.000 0.000 0.000 La
0.500 0.500 0.500 Be
0.250 0.250 0.250 Ga
0.750 0.750 0.750 Ni

***

Record 19
TbGdBe2Ge2, optimized geometry, DFT GGA-PBE; uncorrected energy = -30.04 eV for the cell shown; calculated density = 7.271 Mg/m³
1.0
3.934 0.000 0.000
-1.967 3.407 0.000
0.000 0.000 8.171
Tb Gd Be Ge
1 1 2 2
direct
0.000 0.000 0.000 Tb
0.000 0.000 0.500 Gd
0.333 0.667 0.751 Be
0.667 0.333 0.249 Be
0.333 0.667 0.249 Ge
0.667 0.333 0.751 Ge

***

Record 20
TbSm2Al7Ag2, optimized geometry, DFT GGA-PBE; uncorrected energy = -51.39 eV for the cell shown; calculated density = 5.986 Mg/m³
1.0
2.799 1.616 8.831
-2.799 1.616 8.831
0.000 -3.233 8.831
Tb Sm Al Ag
1 2 7 2
direct
0.000 0.000 0.000 Tb
0.142 0.142 0.142 Sm
0.858 0.858 0.858 Sm
0.075 0.587 0.587 Al
0.413 0.413 0.925 Al
0.413 0.925 0.413 Al
0.500 0.500 0.500 Al
0.587 0.075 0.587 Al
0.587 0.587 0.075 Al
0.925 0.413 0.413 Al
0.336 0.336 0.336 Ag
0.664 0.664 0.664 Ag

***

Record 21
BeMoPbW, optimized geometry, DFT GGA-PBE; E above lowest polymorph = 213 meV/atom; calculated density = 12.653 Mg/m³
1.0
0.000 3.193 3.193
3.193 0.000 3.193
3.193 3.193 0.000
Be Mo Pb W
1 1 1 1
direct
0.000 0.000 0.000 Be
0.250 0.250 0.250 Mo
0.500 0.500 0.500 Pb
0.750 0.750 0.750 W

***

Record 22
Ag2SnPt, optimized geometry, DFT GGA-PBE; uncorrected energy = -16.21 eV for the cell shown; calculated density = 12.223 Mg/m³
1.0
0.000 3.301 3.301
3.301 0.000 3.301
3.301 3.301 0.000
Ag Sn Pt
2 1 1
direct
0.000 0.000 0.000 Ag
0.250 0.250 0.250 Ag
0.500 0.500 0.500 Sn
0.750 0.750 0.750 Pt

***

Record 23
PrAlCu, optimized geometry, DFT GGA-PBE; uncorrected energy = -35.79 eV for the cell shown; calculated density = 6.068 Mg/m³
1.0
8.383 0.000 0.000
-4.192 7.260 0.000
0.000 0.000 3.122
Pr Al Cu
3 3 3
direct
0.000 0.303 0.000 Pr
0.303 0.000 0.000 Pr
0.697 0.697 0.000 Pr
0.000 0.000 0.500 Al
0.333 0.667 0.000 Al
0.667 0.333 0.000 Al
0.000 0.636 0.500 Cu
0.364 0.364 0.500 Cu
0.636 0.000 0.500 Cu

***

Record 24
Zn2Ag9, optimized geometry, DFT GGA-PBE; calculated density = 7.670 Mg/m³; formation energy = 1.350 kcal/mol of atoms
1.0
2.900 0.000 0.000
-1.450 2.511 0.000
0.000 0.000 32.753
Zn Ag
2 9
direct
0.333 0.667 0.367 Zn
0.667 0.333 0.633 Zn
0.000 0.000 0.000 Ag
0.000 0.000 0.222 Ag
0.000 0.000 0.778 Ag
0.333 0.667 0.148 Ag
0.333 0.667 0.704 Ag
0.333 0.667 0.926 Ag
0.667 0.333 0.074 Ag
0.667 0.333 0.296 Ag
0.667 0.333 0.852 Ag